Crystalline SmDy2YSe4 at its relaxed geometry, computed with PBE-GGA.

- formation energy from raw total energies (meV per atom) = -1767.5
- M_tot (μB/f.u.) = 0.00
- calculated total energy (eV/cell) = -48.5
- mass density (g/cm³) = 7.482

Cell and atoms, written as extended XYZ:
```
8
Lattice="-1.815 -2.831 2.260 2.388 -5.072 -4.434 6.362 -2.251 2.291" Properties=species:S:1:pos:R:3 pbc="T T T"
Se 0.393 -4.641 1.767
Se 6.542 -5.512 -1.649
Se 4.438 -4.347 1.752
Se 2.497 -5.807 -1.635
Sm 0.287 -3.951 -1.087
Y 4.375 -3.661 -1.071
Dy 6.362 -2.251 2.291
Dy 2.273 -2.541 2.276
```